Na4Ni3RhO8 after structural relaxation. Source: Alexandria via LeMat-Bulk, functional PBE with a Hubbard U.

Unit cell a=6.1220 b=6.1220 c=15.8411 alpha=90.00 beta=90.00 gamma=120.00
Space group R-3m (No. 166, hexagonal axes)
One atom of each set of equivalent atoms:
Na1 0.0000 0.0000 0.0000 [3 per cell]
Na2 0.0000 0.5000 0.0000 [9 per cell]
Ni1 0.0000 0.5000 0.5000 [9 per cell]
Rh1 0.0000 0.0000 0.5000 [3 per cell]
O1 0.0000 0.0000 0.2278 [6 per cell]
O2 0.0139 0.5070 0.2350 [18 per cell]

Properties
Density of states at the Fermi level (states/eV/f.u.): 2.5
Calculated total energy (eV/atom): -4.934